# Cr2NiTe PBE relaxed
data_Cr2NiTe
_chemical_formula_sum 'Cr2 Ni1 Te1'
_cell_length_a 3.400
_cell_length_b 3.400
_cell_length_c 5.250
_cell_angle_alpha 90.00
_cell_angle_beta 90.00
_cell_angle_gamma 89.99
_space_group_name_H-M_alt 'P 1'
_space_group_IT_number 1
loop_
_space_group_symop_operation_xyz
'x,y,z'
loop_
_atom_site_label
_atom_site_type_symbol
_atom_site_fract_x
_atom_site_fract_y
_atom_site_fract_z
_atom_site_occupancy
Cr1 Cr 0.000 0.000 0.440 1
Ni1 Ni 0.500 0.500 0.250 1
Cr2 Cr 0.000 0.000 0.060 1
Te1 Te 0.500 0.500 0.750 1
# - space group = P4/mmm, No. 123
# - M_tot (μB/cell) = 1.74
# - calculated total energy (hartree per atom) = -0.243



# RbTlPb PBE relaxed
data_RbTlPb
_chemical_formula_sum 'Rb2 Tl2 Pb2'
_cell_length_a 5.110
_cell_length_b 5.110
_cell_length_c 10.011
_cell_angle_alpha 75.21
_cell_angle_beta 75.21
_cell_angle_gamma 90.00
_space_group_name_H-M_alt 'P 1'
_space_group_IT_number 1
loop_
_space_group_symop_operation_xyz
'x,y,z'
loop_
_atom_site_label
_atom_site_type_symbol
_atom_site_fract_x
_atom_site_fract_y
_atom_site_fract_z
_atom_site_occupancy
Pb1 Pb 0.000 0.500 0.000 1
Tl1 Tl 0.888 0.888 0.225 1
Rb1 Rb 0.333 0.333 0.334 1
Pb2 Pb 0.500 0.000 0.000 1
Tl2 Tl 0.112 0.112 0.775 1
Rb2 Rb 0.667 0.667 0.666 1
# - space group = I4/mmm, No. 139
# - M_tot (μB/cell) = 0.00
# - calculated total energy (hartree per atom) = -0.090



# Ac3TlCd3 PBE relaxed
data_Ac3TlCd3
_chemical_formula_sum 'Ac6 Tl2 Cd6'
_cell_length_a 5.043
_cell_length_b 6.485
_cell_length_c 15.783
_cell_angle_alpha 83.91
_cell_angle_beta 80.81
_cell_angle_gamma 67.12
_space_group_name_H-M_alt 'P 1'
_space_group_IT_number 1
loop_
_space_group_symop_operation_xyz
'x,y,z'
loop_
_atom_site_label
_atom_site_type_symbol
_atom_site_fract_x
_atom_site_fract_y
_atom_site_fract_z
_atom_site_occupancy
Ac1 Ac 0.604 0.714 0.077 1
Cd1 Cd 0.969 0.834 0.229 1
Cd2 Cd 0.871 0.719 0.540 1
Tl1 Tl 0.753 0.107 0.388 1
Ac2 Ac 0.544 0.299 0.614 1
Ac3 Ac 0.456 0.701 0.386 1
Cd3 Cd 0.890 0.146 0.074 1
Cd4 Cd 0.129 0.281 0.460 1
Cd5 Cd 0.031 0.166 0.771 1
Ac4 Ac 0.396 0.286 0.923 1
Ac5 Ac 0.254 0.268 0.224 1
Ac6 Ac 0.746 0.732 0.776 1
Cd6 Cd 0.110 0.854 0.926 1
Tl2 Tl 0.247 0.893 0.612 1
# - space group = C2/m, No. 12
# - M_tot (μB/cell) = 0.00
# - calculated total energy (hartree per atom) = -0.102



# SmErRuRh PBE relaxed
data_SmErRuRh
_chemical_formula_sum 'Sm1 Er1 Ru1 Rh1'
_cell_length_a 4.857
_cell_length_b 4.857
_cell_length_c 4.857
_cell_angle_alpha 60.00
_cell_angle_beta 60.00
_cell_angle_gamma 60.00
_space_group_name_H-M_alt 'P 1'
_space_group_IT_number 1
loop_
_space_group_symop_operation_xyz
'x,y,z'
loop_
_atom_site_label
_atom_site_type_symbol
_atom_site_fract_x
_atom_site_fract_y
_atom_site_fract_z
_atom_site_occupancy
Er1 Er 0.500 0.500 0.500 1
Ru1 Ru 0.750 0.750 0.750 1
Sm1 Sm 0.000 0.000 0.000 1
Rh1 Rh 0.250 0.250 0.250 1
# - distance to the lowest polymorph of the same formula (meV/atom) = 16
# - space group = F-43m, No. 216
# - M_tot (μB/cell) = 0.00
# - calculated total energy (hartree per atom) = -0.259



Per-record Fermi-level density of states, states/eV/atom: 0.88, 0.29, 1.18, 0.62